Entry 1:
! Nd3TmRu, optimized geometry, DFT PBE-GGA; values from VASP
&SYSTEM
  ibrav = 0, nat = 5, ntyp = 3
/
ATOMIC_SPECIES
Ru 101.07 Ru.upf
Nd 144.24 Nd.upf
Tm 168.93 Tm.upf
ATOMIC_POSITIONS crystal
Ru 0.000 0.000 0.000
Nd 0.000 0.500 0.000
Nd 0.000 0.000 0.500
Nd 0.500 0.000 0.000
Tm 0.500 0.500 0.500
CELL_PARAMETERS angstrom
5.520 0.000 0.000
0.000 5.520 0.000
0.000 0.000 5.520
! Crystal system = cubic
! Total DFT energy (no corrections) = -27.73 eV for the cell shown
! DOS at the Fermi energy = 7.994 states/eV/f.u.
! Formation enthalpy at 0 K = 6.1 kJ/mol of atoms
! Excess energy over the best structure of this formula in the dataset = 0.188 eV per atom



Entry 2:
! Nd2TmRu, optimized geometry, DFT PBE-GGA; values from VASP
&SYSTEM
  ibrav = 0, nat = 4, ntyp = 3
/
ATOMIC_SPECIES
Nd 144.24 Nd.upf
Ru 101.07 Ru.upf
Tm 168.93 Tm.upf
ATOMIC_POSITIONS crystal
Nd 0.000 0.000 0.811
Nd 0.000 0.000 0.189
Ru 0.500 0.500 0.000
Tm 0.500 0.500 0.500
CELL_PARAMETERS angstrom
-2.461 -2.511 0.019
0.051 -0.023 3.515
-6.507 6.379 0.137
! Crystal system = tetragonal
! Total DFT energy (no corrections) = -23.33 eV for the cell shown
! DOS at the Fermi energy = 5.593 states/eV/f.u.
! Formation enthalpy at 0 K = -1.1 kJ/mol of atoms
! Excess energy over the best structure of this formula in the dataset = 0.224 eV per atom



Entry 3:
! Nd2TmRu, optimized geometry, DFT PBE-GGA; values from VASP
&SYSTEM
  ibrav = 0, nat = 8, ntyp = 3
/
ATOMIC_SPECIES
Nd 144.24 Nd.upf
Tm 168.93 Tm.upf
Ru 101.07 Ru.upf
ATOMIC_POSITIONS crystal
Nd 0.640 0.280 0.432
Nd 0.640 0.280 0.068
Nd 0.360 0.720 0.932
Nd 0.360 0.720 0.568
Tm 0.919 0.837 0.250
Tm 0.081 0.163 0.750
Ru 0.262 0.524 0.250
Ru 0.738 0.476 0.750
CELL_PARAMETERS angstrom
4.033 -0.001 0.000
-2.017 5.997 0.000
0.000 0.000 9.296
! Crystal system = orthorhombic
! Total DFT energy (no corrections) = -48.28 eV for the cell shown
! DOS at the Fermi energy = 2.921 states/eV/f.u.
! Formation enthalpy at 0 K = -20.7 kJ/mol of atoms
! Excess energy over the best structure of this formula in the dataset = 0.021 eV per atom



Which value of formation enthalpy at 0 K does entry 1 give?
6.1 kJ/mol of atoms



What is the formula in the third record?
Nd2TmRu



Number 3 is which compound?
Nd2TmRu



The lowest total DFT energy (no corrections) belongs to which entry?
number 3